[1]
Na3Th3ScSe8 | PBE-GGA | optimized geometry

Its final energy is -0.40968 Ry per atom.

The space group is R-3m (No. 166, hexagonal axes) and the conventional cell measures 8.2731, 8.2731 and 21.5789 Å, with angles of 90.00, 90.00 and 120.00 degrees. The inequivalent atoms are Na at (0.0000, 0.5000, 0.0000), Th at (0.0000, 0.5000, 0.5000), Sc at (0.0000, 0.0000, 0.5000), Se at (0.0000, 0.0000, 0.2495) and Se at (0.0172, 0.5086, 0.2417).



[2]
TbNd10Er4 | PBE-GGA | optimized geometry

Its final energy is -0.29534 Ry per atom. Its formation energy is 0.686 eV per atom.

The space group is I4/m (No. 87) and the conventional cell measures 12.3411, 12.3411 and 7.7998 Å, with angles of 90.00, 90.00 and 90.00 degrees. The inequivalent atoms are Tb at (0.0000, 0.0000, 0.0000), Nd at (0.0000, 0.5000, 0.2500), Nd at (0.0996, 0.7990, 0.2504) and Er at (0.1003, 0.2995, 0.5000).



[3]
Na4SrHg | PBE-GGA | optimized geometry

Its final energy is -0.08791 Ry per atom. Its formation energy is 0.014 eV per atom.

The space group is F-43m (No. 216) and the conventional cell measures 9.4632, 9.4632 and 9.4632 Å, with angles of 90.00, 90.00 and 90.00 degrees. The inequivalent atoms are Na at (0.1244, 0.1244, 0.3756), Sr at (0.0000, 0.0000, 0.0000) and Hg at (0.2500, 0.2500, 0.7500).



[4]
YPb | PBE-GGA | optimized geometry

Its final energy is -0.40888 Ry per atom. Its formation energy is -0.477 eV per atom.

The space group is Pnma (No. 62) and the conventional cell measures 6.4735, 5.5453 and 6.4144 Å, with angles of 90.00, 90.00 and 90.00 degrees. The inequivalent atoms are Y at (0.1379, 0.2500, 0.1371) and Pb at (0.1142, 0.2500, 0.6470).



[5]
TbPrSm3Ho | PBE-GGA | optimized geometry

Its final energy is -0.33032 Ry per atom. Its formation energy is 0.197 eV per atom.

The space group is C2/m (No. 12) and the conventional cell measures 20.3993, 5.7614 and 6.9019 Å, with angles of 90.00, 90.02 and 90.00 degrees. The inequivalent atoms are Tb at (0.1469, 0.0000, 0.4647), Pr at (0.1441, 0.0000, 0.0219), Sm at (0.0197, 0.0000, 0.7423), Sm at (0.1604, 0.5000, 0.7352), Sm at (0.2201, 0.5000, 0.2456) and Ho at (0.0577, 0.5000, 0.2668).



[6]
HgPdCl2 | PBE-GGA | optimized geometry

Its final energy is -0.18686 Ry per atom. The excess energy over the best structure of this formula in the dataset comes out at 0.00 kJ per mole of atoms.

The space group is I-42d (No. 122) and the conventional cell measures 8.7298, 8.7298 and 5.4355 Å, with angles of 90.00, 90.00 and 90.00 degrees. The inequivalent atoms are Hg at (0.0000, 0.0000, 0.0000), Pd at (0.0000, 0.0000, 0.5000) and Cl at (0.1089, 0.2500, 0.6250).